[1]
Mn2SbP after structural relaxation. Source: the Alexandria database, functional GGA-PBE.

For the density of states at the Fermi level, the calculation gives 3.33 states/eV per cell. The value obtained for the final energy is -0.2610 hartree per atom. The calculation puts the energy relative to the elements, uncorrected at -0.135 eV per atom. For the volume, the calculation gives 16.6 A^3/atom.

a b c (Å): 3.420 3.112 6.437
angles (deg): 75.90 90.00 90.00
Atoms (fractional coordinates):
Mn  0.000  0.171  0.033
Mn  0.500  0.003  0.367
P  0.000  0.535  0.304
Sb  0.500  0.791  0.796

[2]
MnSb3P5 after structural relaxation. Source: the Alexandria database, functional GGA-PBE.

For the density of states at the Fermi level, the calculation gives 7.28 states/eV per cell. The value obtained for the final energy is -0.1883 hartree per atom. The calculation puts the energy relative to the elements, uncorrected at 0.273 eV per atom. For the volume, the calculation gives 21.6 A^3/atom.

a b c (Å): 10.074 10.074 5.224
angles (deg): 90.00 90.00 132.80
Atoms (fractional coordinates):
Sb  0.578  0.887  0.250
Sb  0.887  0.578  0.250
Sb  0.337  0.337  0.250
Sb  0.422  0.113  0.750
Sb  0.113  0.422  0.750
Sb  0.663  0.663  0.750
Mn  0.000  0.000  0.000
Mn  0.000  0.000  0.500
P  0.200  0.006  0.250
P  0.006  0.200  0.250
P  0.746  0.746  0.250
P  0.800  0.994  0.750
P  0.994  0.800  0.750
P  0.254  0.254  0.750
P  0.276  0.724  0.000
P  0.724  0.276  0.500
P  0.724  0.276  0.000
P  0.276  0.724  0.500

[3]
Mn2SbP after structural relaxation. Source: the Alexandria database, functional GGA-PBE.

For the density of states at the Fermi level, the calculation gives 3.80 states/eV per cell. The value obtained for the final energy is -0.2474 hartree per atom. The calculation puts the energy relative to the elements, uncorrected at 0.237 eV per atom. For the volume, the calculation gives 13.4 A^3/atom.

a b c (Å): 4.232 4.232 4.232
angles (deg): 60.00 60.00 60.00
Atoms (fractional coordinates):
Sb  0.500  0.500  0.500
Mn  0.250  0.250  0.250
Mn  0.750  0.750  0.750
P  0.000  0.000  0.000